{"formula": "LaSeO3", "functional": "PBE", "state": "optimized geometry", "lattice": [[4.463, 0.000, 0.000], [0.000, 4.463, 0.000], [0.000, 0.000, 4.463]], "species": ["O", "O", "O", "Se", "La"], "fractional_positions": [[0.000, 0.000, 0.500], [0.000, 0.500, 0.000], [0.500, 0.000, 0.000], [0.500, 0.500, 0.500], [0.000, 0.000, 0.000]]}

{"formula": "La4Se3O2", "functional": "PBE", "state": "optimized geometry", "lattice": [[-5.984, 2.598, 1.449], [-0.756, -5.056, 6.545], [3.264, 4.355, 6.273]], "species": ["Se", "Se", "Se", "Se", "Se", "Se", "O", "O", "O", "O", "La", "La", "La", "La", "La", "La", "La", "La"], "fractional_positions": [[0.463, 0.245, 0.992], [0.963, 0.992, 0.245], [0.537, 0.755, 0.008], [0.750, 0.393, 0.607], [0.250, 0.607, 0.393], [0.037, 0.008, 0.755], [0.413, 0.166, 0.422], [0.587, 0.834, 0.578], [0.913, 0.422, 0.166], [0.087, 0.578, 0.834], [0.578, 0.417, 0.264], [0.528, 0.063, 0.703], [0.972, 0.297, 0.937], [0.028, 0.703, 0.063], [0.922, 0.736, 0.583], [0.472, 0.937, 0.297], [0.078, 0.264, 0.417], [0.422, 0.583, 0.736]], "e_above_lowest_polymorph_ev_per_atom": 0.032}

The records above yield ΔE_f (raw) values of -3.27 -22.63 eV/f.u., respectively.
The records above yield uncorrected energy values of -5.311 -6.967 eV/atom, respectively.